No. 1
First-principles (PBE) data for a geometry-optimized InGaIN2 structure, as listed in the Alexandria database.

```
InGaIN2
1.0
-0.1601 2.8760 3.5083
-3.7555 -2.0531 1.5117
3.8010 -4.2560 3.6624
I N Ga In
1 2 1 1
direct
0.0000 0.0000 0.5000
0.0000 0.5000 0.0000
0.5000 0.0000 0.0000
0.5000 0.5000 0.5000
0.0000 0.0000 0.0000
```

Properties
- space group = No. 123
- total energy (Ry/atom) = -0.2585
- M_tot (μB per formula unit) = 3.0
- offset from the most stable computed form (meV per atom) = 55
- energy relative to the elements, uncorrected (meV per atom) = 1276


No. 2
First-principles (PBE) data for a geometry-optimized As2IrPb structure, as listed in the Alexandria database.

```
As2IrPb
1.0
7.6651 -0.0203 -0.0122
6.7833 3.5694 -0.0122
6.7833 1.6662 3.1566
Pb As Ir
1 2 1
direct
0.7533 0.7533 0.7533
0.9999 0.9999 0.9999
0.2332 0.2332 0.2332
0.5136 0.5136 0.5136
```

Properties
- space group = No. 160
- total energy (Ry/atom) = -0.3859
- M_tot (μB per formula unit) = 0.0
- offset from the most stable computed form (meV per atom) = 271
- energy of formation (eV per atom) = 0.216


No. 3
First-principles (PBE) data for a geometry-optimized ZrIn3Se structure, as listed in the Alexandria database.

```
ZrIn3Se
1.0
-2.9741 -2.6743 -3.5085
4.1520 -0.2671 -3.3161
1.4907 -4.5917 2.2363
Se Zr In
1 1 3
direct
0.0000 0.0000 0.0000
0.5000 0.5000 0.5000
0.0000 0.5000 0.0000
0.0000 0.0000 0.5000
0.5000 0.0000 0.0000
```

Properties
- space group = No. 221
- total energy (Ry/atom) = -0.2480
- M_tot (μB per formula unit) = 1.5
- offset from the most stable computed form (meV per atom) = 0
- energy relative to the elements, uncorrected (meV per atom) = 676


No. 4
First-principles (PBE) data for a geometry-optimized Mg3Cu2Se structure, as listed in the Alexandria database.

```
Mg3Cu2Se
1.0
-1.6495 4.9827 3.4787
-2.7212 -5.5868 1.0131
4.9403 -1.5730 4.5955
Mg Se Cu
6 2 4
direct
0.6361 0.8180 0.2500
0.1820 0.8180 0.2500
0.1820 0.3639 0.2500
0.3639 0.1820 0.7500
0.8180 0.1820 0.7500
0.8180 0.6361 0.7500
0.0000 0.0000 0.0000
0.0000 0.0000 0.5000
0.6667 0.3333 0.0751
0.3333 0.6667 0.5751
0.3333 0.6667 0.9249
0.6667 0.3333 0.4249
```

Properties
- space group = No. 194
- total energy (Ry/atom) = -0.2082
- M_tot (μB per formula unit) = 0.0
- offset from the most stable computed form (meV per atom) = 177
- energy relative to the elements, uncorrected (meV per atom) = -89


No. 5
First-principles (PBE) data for a geometry-optimized Ho2Ga5Ni4 structure, as listed in the Alexandria database.

```
Ho2Ga5Ni4
1.0
5.2394 0.0000 0.0000
2.6197 4.4511 0.0000
2.6197 0.0000 7.6791
Ho Ga Ni
2 5 4
direct
0.8688 0.0000 0.2624
0.1312 0.0000 0.7376
0.5000 0.0000 0.0000
0.0000 0.5000 0.0000
0.5000 0.5000 0.0000
0.2500 0.5000 0.5000
0.7500 0.5000 0.5000
0.4740 0.3128 0.7392
0.5260 0.6872 0.2608
0.2132 0.3128 0.2608
0.7868 0.6872 0.7392
```

Properties
- space group = No. 69
- total energy (Ry/atom) = -0.3559
- M_tot (μB per formula unit) = 0.0
- energy of formation (eV per atom) = -0.532


No. 6
First-principles (PBE) data for a geometry-optimized AlSi2Pt structure, as listed in the Alexandria database.

```
AlSi2Pt
1.0
5.9569 -0.0039 -0.0078
3.7319 4.6430 0.0078
-4.3569 -3.3377 2.3155
Si Al Pt
2 1 1
direct
0.0359 0.0359 0.0000
0.4641 0.4641 0.0000
0.7500 0.2500 0.5000
0.2500 0.7500 0.5000
```

Properties
- space group = No. 71
- total energy (Ry/atom) = -0.3904
- M_tot (μB per formula unit) = 0.0
- energy relative to the elements, uncorrected (meV per atom) = -155


No. 7
First-principles (PBE) data for a geometry-optimized Cu4HPd structure, as listed in the Alexandria database.

```
Cu4HPd
1.0
6.7217 -0.0186 0.6893
1.2443 3.8476 2.2490
0.2109 -0.2529 5.0759
Cu H Pd
8 2 2
direct
0.6428 0.4207 0.8068
0.0422 0.2276 0.7210
0.8572 0.7725 0.8068
0.4578 0.0515 0.7210
0.5422 0.9485 0.2790
0.1428 0.2275 0.1932
0.9578 0.7724 0.2790
0.3572 0.5793 0.1932
0.2500 0.0153 0.9695
0.7500 0.9847 0.0305
0.7500 0.3349 0.3302
0.2500 0.6651 0.6698
```

Properties
- space group = No. 15
- total energy (Ry/atom) = -0.3019
- M_tot (μB per formula unit) = 0.0


No. 8
First-principles (PBE) data for a geometry-optimized Sc2SiBr structure, as listed in the Alexandria database.

```
Sc2SiBr
1.0
2.3665 0.0000 7.7499
-1.1833 2.0495 7.7499
-1.1833 -2.0495 7.7499
Sc Si Br
2 1 1
direct
0.8863 0.8863 0.8863
0.1137 0.1137 0.1137
0.5000 0.5000 0.5000
0.0000 0.0000 0.0000
```

Properties
- space group = No. 166
- total energy (Ry/atom) = -0.4221
- M_tot (μB per formula unit) = 0.0
- offset from the most stable computed form (meV per atom) = 99
- energy relative to the elements, uncorrected (meV per atom) = -803


No. 9
First-principles (PBE) data for a geometry-optimized Si3Os2 structure, as listed in the Alexandria database.

```
Si3Os2
1.0
-1.4892 1.0113 -3.5114
-2.0021 -2.4463 2.3616
-2.4980 4.2482 2.2829
Si Os
3 2
direct
0.0000 0.0000 0.0000
0.6667 0.3333 0.6243
0.3333 0.6667 0.3757
0.6667 0.3333 0.1769
0.3333 0.6667 0.8231
```

Properties
- space group = No. 164
- total energy (Ry/atom) = -0.5832
- M_tot (μB per formula unit) = 0.0
- energy relative to the elements, uncorrected (meV per atom) = -190


No. 10
First-principles (PBE) data for a geometry-optimized Sc2CdRh structure, as listed in the Alexandria database.

```
Sc2CdRh
1.0
7.6402 0.0000 0.0000
0.0000 7.6402 0.0000
3.8201 3.8201 2.9049
Sc Rh Cd
4 2 2
direct
0.5737 0.1250 0.2500
0.1763 0.6250 0.2500
0.3750 0.4263 0.7500
0.8750 0.8237 0.7500
0.5000 0.5000 0.0000
0.2500 0.7500 0.5000
0.0000 0.0000 0.0000
0.7500 0.2500 0.5000
```

Properties
- space group = No. 122
- total energy (Ry/atom) = -0.4033
- M_tot (μB per formula unit) = 0.9
- energy of formation (eV per atom) = -0.255


No. 11
First-principles (PBE) data for a geometry-optimized Pm4Mg5Ag2 structure, as listed in the Alexandria database.

```
Pm4Mg5Ag2
1.0
-3.5239 -0.1354 0.1359
-0.1868 -2.7576 -7.5906
0.5283 -9.6209 4.1162
Pm Mg Ag
4 5 2
direct
0.5000 0.7432 0.5521
0.5000 0.1587 0.8756
0.5000 0.2568 0.4479
0.5000 0.8413 0.1244
0.0000 0.5640 0.2993
0.0000 0.1997 0.1659
0.0000 0.5000 0.0000
0.0000 0.8003 0.8341
0.0000 0.4360 0.7007
0.0000 0.0599 0.6373
0.0000 0.9401 0.3627
```

Properties
- space group = No. 10
- total energy (Ry/atom) = -0.2264
- M_tot (μB per formula unit) = 0.0
- energy of formation (eV per atom) = -0.109


No. 12
First-principles (PBE) data for a geometry-optimized BaHf2BOs structure, as listed in the Alexandria database.

```
BaHf2BOs
1.0
-3.9679 0.4785 -2.9383
-1.9741 -5.8677 1.7102
-2.5570 1.9597 3.7721
Hf B Os Ba
2 1 1 1
direct
0.0000 0.0000 0.5000
0.5000 0.0000 0.0000
0.5000 0.5000 0.5000
0.0000 0.0000 0.0000
0.0000 0.5000 0.0000
```

Properties
- space group = No. 123
- total energy (Ry/atom) = -0.4873
- M_tot (μB per formula unit) = 1.2
- energy of formation (eV per atom) = 1.317


Among the records above, which one has the highest total energy?
Mg3Cu2Se